This record from Alexandria via LeMat-Bulk describes a geometry-optimized TaBeRe2As structure. The functional is GGA-PBEsol.

```
5
Lattice="4.336 0.000 0.000 0.000 4.336 0.000 0.000 0.000 3.888" Properties=species:S:1:pos:R:3 pbc="T T T"
Ta 0.000 0.000 0.000
Be 2.168 2.168 1.944
Re 0.000 2.168 1.944
Re 2.168 0.000 1.944
As 2.168 2.168 0.000
```

- formation enthalpy at 0 K (eV per atom) = 0.88
- volume (Å³/f.u.) = 73.1
- E (eV/atom) = -8.79
- total magnetization (μB/atom) = 0.00
- symmetry = P4/mmm, No. 123



This record from Alexandria via LeMat-Bulk describes a geometry-optimized InTe4Ir structure. The functional is GGA-PBEsol.

```
6
Lattice="0.000 4.305 4.305 4.305 0.000 4.305 4.305 4.305 0.000" Properties=species:S:1:pos:R:3 pbc="T T T"
In 0.000 0.000 0.000
Te 3.244 3.244 3.244
Te 5.366 5.366 3.244
Te 5.366 3.244 5.366
Te 3.244 5.366 5.366
Ir 6.457 6.457 6.457
```

- volume (Å³/f.u.) = 159.6
- E (eV/atom) = -3.47
- total magnetization (μB/atom) = 0.10
- symmetry = F-43m, No. 216
- E_form (uncorrected) (kJ/mol of formula units) = 585.8



This record from Alexandria via LeMat-Bulk describes a geometry-optimized K3CrMo structure. The functional is GGA-PBEsol.

```
5
Lattice="6.422 0.000 0.000 0.000 6.422 0.000 0.000 0.000 6.422" Properties=species:S:1:pos:R:3 pbc="T T T"
K 0.000 0.000 3.211
K 0.000 3.211 0.000
K 3.211 0.000 0.000
Cr 0.000 0.000 0.000
Mo 3.211 3.211 3.211
```

- formation enthalpy at 0 K (eV per atom) = 1.87
- volume (Å³/f.u.) = 264.8
- E (eV/atom) = -3.21
- total magnetization (μB/atom) = 2.18
- symmetry = Pm-3m, No. 221



This record from Alexandria via LeMat-Bulk describes a geometry-optimized YBeAl2 structure. The functional is GGA-PBEsol.

```
4
Lattice="1.505 0.869 9.166 -1.505 0.869 9.166 0.000 -1.737 9.166" Properties=species:S:1:pos:R:3 pbc="T T T"
Y 0.000 0.000 0.000
Be 0.000 0.000 13.749
Al 0.000 0.000 6.480
Al 0.000 0.000 21.017
```

- formation enthalpy at 0 K (eV per atom) = 0.26
- volume (Å³/f.u.) = 71.9
- E (eV/atom) = -4.50
- total magnetization (μB/atom) = 0.00
- symmetry = R-3m, No. 166